[1]
Crystalline LaTa2Ge2 at its relaxed geometry. Source: Alexandria via LeMat-Bulk, functional PBE-GGA.

a b c (Å): 4.1230 4.1230 6.7999
angles (deg): 72.35 72.35 90.00
With the nearest neighbours (Å) after each atom.
Fractional positions:
Ge  0.3928  0.3928  0.2144  1 Ge 2.63, 4 Ta 2.71
Ge  0.6072  0.6072  0.7856  1 Ge 2.63, 4 Ta 2.71
La  0.0000  0.0000  0.0000  8 Ge 3.20
Ta  0.7500  0.2500  0.5000  4 Ge 2.71, 4 Ta 2.92
Ta  0.2500  0.7500  0.5000  4 Ge 2.71, 4 Ta 2.92

Results
- Calculated total energy: -8.11 eV per atom
- ΔE to the lowest computed polymorph: 0 meV/atom
- Total magnetization: 0.00 μB/f.u.
- Formation energy: -0.532 eV per atom

[2]
Crystalline LaTa2Ge2 at its relaxed geometry. Source: Alexandria via LeMat-Bulk, functional PBE-GGA.

a b c (Å): 4.9427 4.9427 5.7308
angles (deg): 64.45 64.45 90.00
With the nearest neighbours (Å) after each atom.
Fractional positions:
Ge  0.7500  0.2500  0.5000  4 Ta 2.64
Ge  0.2500  0.7500  0.5000  4 Ta 2.64
La  0.0000  0.0000  0.0000  2 Ta 3.21, 8 Ge 3.36
Ta  0.3536  0.3536  0.2929  4 Ge 2.64, 1 Ta 2.66
Ta  0.6464  0.6464  0.7071  4 Ge 2.64, 1 Ta 2.66

Results
- Calculated total energy: -7.67 eV per atom
- ΔE to the lowest computed polymorph: 432 meV/atom
- Total magnetization: 0.00 μB/f.u.
- Formation energy: -0.100 eV per atom

[3]
Crystalline LaTa3Ge at its relaxed geometry. Source: Alexandria via LeMat-Bulk, functional PBE-GGA.

a b c (Å): 4.9143 4.9143 4.9143
angles (deg): 90.00 90.00 90.00
With the nearest neighbours (Å) after each atom.
Fractional positions:
Ge  0.0000  0.0000  0.0000  6 Ta 2.46
La  0.5000  0.5000  0.5000  12 Ta 3.47
Ta  0.0000  0.5000  0.0000  2 Ge 2.46
Ta  0.0000  0.0000  0.5000  2 Ge 2.46
Ta  0.5000  0.0000  0.0000  2 Ge 2.46

Results
- Calculated total energy: -8.20 eV per atom
- ΔE to the lowest computed polymorph: 0 meV/atom
- Total magnetization: 0.00 μB/f.u.
- Formation energy: 0.819 eV per atom